# Ac12TbSn6 PBE optimized geometry
data_Ac12TbSn6
_chemical_formula_sum 'Ac12 Tb1 Sn6'
_cell_length_a 9.8761
_cell_length_b 9.8761
_cell_length_c 9.8761
_cell_angle_alpha 107.68
_cell_angle_beta 107.68
_cell_angle_gamma 107.68
_symmetry_space_group_name_H-M 'P 1'
_symmetry_Int_Tables_number 1
loop_
_symmetry_equiv_pos_as_xyz
'x,y,z'
loop_
_atom_site_label
_atom_site_type_symbol
_atom_site_fract_x
_atom_site_fract_y
_atom_site_fract_z
_atom_site_occupancy
Ac1 Ac 0.0156 0.3197 0.8787 1
Ac2 Ac 0.1136 0.4564 0.3586 1
Ac3 Ac 0.1213 0.9844 0.6803 1
Ac4 Ac 0.3197 0.8787 0.0156 1
Ac5 Ac 0.3586 0.1136 0.4564 1
Ac6 Ac 0.4564 0.3586 0.1136 1
Ac7 Ac 0.5436 0.6414 0.8864 1
Ac8 Ac 0.6414 0.8864 0.5436 1
Ac9 Ac 0.6803 0.1213 0.9844 1
Ac10 Ac 0.8787 0.0156 0.3197 1
Ac11 Ac 0.8864 0.5436 0.6414 1
Ac12 Ac 0.9844 0.6803 0.1213 1
Tb1 Tb 0.0000 0.0000 0.0000 1
Sn1 Sn 0.1942 0.3359 0.6434 1
Sn2 Sn 0.3359 0.6434 0.1942 1
Sn3 Sn 0.3566 0.8058 0.6641 1
Sn4 Sn 0.6434 0.1942 0.3359 1
Sn5 Sn 0.6641 0.3566 0.8058 1
Sn6 Sn 0.8058 0.6641 0.3566 1
# E_tot   -82.62 eV per cell
# Calculated density   7.6 g cm⁻³
# DFT formation energy   -0.246 eV per atom

---

# TaFeTe2 PBE optimized geometry
data_TaFeTe2
_chemical_formula_sum 'Ta1 Fe1 Te2'
_cell_length_a 3.5028
_cell_length_b 3.5028
_cell_length_c 7.6111
_cell_angle_alpha 90.00
_cell_angle_beta 90.00
_cell_angle_gamma 90.00
_symmetry_space_group_name_H-M 'P 1'
_symmetry_Int_Tables_number 1
loop_
_symmetry_equiv_pos_as_xyz
'x,y,z'
loop_
_atom_site_label
_atom_site_type_symbol
_atom_site_fract_x
_atom_site_fract_y
_atom_site_fract_z
_atom_site_occupancy
Ta1 Ta 0.0000 0.0000 0.0000 1
Fe1 Fe 0.5000 0.5000 0.8333 1
Te1 Te 0.0000 0.0000 0.6460 1
Te2 Te 0.5000 0.5000 0.1927 1
# Formation energy without anion corrections   3 kJ/mol of atoms
# E_tot   -26.46 eV per cell
# Calculated density   8.7 g cm⁻³

---

# Mn2SiMo PBE optimized geometry
data_Mn2SiMo
_chemical_formula_sum 'Mn2 Si1 Mo1'
_cell_length_a 2.6633
_cell_length_b 3.6181
_cell_length_c 5.3570
_cell_angle_alpha 90.00
_cell_angle_beta 90.00
_cell_angle_gamma 90.00
_symmetry_space_group_name_H-M 'P 1'
_symmetry_Int_Tables_number 1
loop_
_symmetry_equiv_pos_as_xyz
'x,y,z'
loop_
_atom_site_label
_atom_site_type_symbol
_atom_site_fract_x
_atom_site_fract_y
_atom_site_fract_z
_atom_site_occupancy
Mn1 Mn 0.0000 0.0000 0.0000 1
Mn2 Mn 0.5000 0.5000 0.2281 1
Si1 Si 0.5000 0.5000 0.7641 1
Mo1 Mo 0.0000 0.0000 0.5031 1
# Formation energy without anion corrections   -7 kJ/mol of atoms
# E_tot   -34.87 eV per cell
# Calculated density   7.5 g cm⁻³

---

# K2ErTmS4 PBE optimized geometry
data_K2ErTmS4
_chemical_formula_sum 'K2 Er1 Tm1 S4'
_cell_length_a 6.9401
_cell_length_b 4.0072
_cell_length_c 7.7136
_cell_angle_alpha 90.00
_cell_angle_beta 107.44
_cell_angle_gamma 90.00
_symmetry_space_group_name_H-M 'P 1'
_symmetry_Int_Tables_number 1
loop_
_symmetry_equiv_pos_as_xyz
'x,y,z'
loop_
_atom_site_label
_atom_site_type_symbol
_atom_site_fract_x
_atom_site_fract_y
_atom_site_fract_z
_atom_site_occupancy
K1 K 0.0000 0.0000 0.0000 1
K2 K 0.5000 0.5000 0.0000 1
Er1 Er 0.0000 0.5000 0.5000 1
Tm1 Tm 0.5000 0.0000 0.5000 1
S1 S 0.2342 0.0000 0.6999 1
S2 S 0.2679 0.5000 0.3005 1
S3 S 0.7321 0.5000 0.6995 1
S4 S 0.7658 0.0000 0.3001 1
# Formation energy without anion corrections   -182 kJ/mol of atoms
# E_tot   -42.85 eV per cell
# Calculated density   4.4 g cm⁻³

---

# Pr5Y8Cd PBE optimized geometry
data_Pr5Y8Cd
_chemical_formula_sum 'Pr5 Y8 Cd1'
_cell_length_a 8.6332
_cell_length_b 8.6332
_cell_length_c 8.6332
_cell_angle_alpha 103.57
_cell_angle_beta 103.57
_cell_angle_gamma 122.05
_symmetry_space_group_name_H-M 'P 1'
_symmetry_Int_Tables_number 1
loop_
_symmetry_equiv_pos_as_xyz
'x,y,z'
loop_
_atom_site_label
_atom_site_type_symbol
_atom_site_fract_x
_atom_site_fract_y
_atom_site_fract_z
_atom_site_occupancy
Pr1 Pr 0.0000 0.0000 0.0000 1
Pr2 Pr 0.2148 0.4140 0.8035 1
Pr3 Pr 0.5860 0.3894 0.8008 1
Pr4 Pr 0.5887 0.7852 0.1992 1
Pr5 Pr 0.6106 0.4113 0.1965 1
Y1 Y 0.0406 0.5446 0.0849 1
Y2 Y 0.0443 0.9594 0.5039 1
Y3 Y 0.4200 0.0785 0.3418 1
Y4 Y 0.4554 0.5403 0.4961 1
Y5 Y 0.4597 0.9557 0.9151 1
Y6 Y 0.7368 0.0782 0.6582 1
Y7 Y 0.9215 0.2632 0.3415 1
Y8 Y 0.9218 0.5800 0.6585 1
Cd1 Cd 0.2500 0.7500 0.5000 1
# E_tot   -74.55 eV per cell
# Calculated density   5.3 g cm⁻³
# DFT formation energy   0.141 eV per atom

---

# GaAg6Sn2 PBE optimized geometry
data_GaAg6Sn2
_chemical_formula_sum 'Ga2 Ag12 Sn4'
_cell_length_a 6.7351
_cell_length_b 6.7351
_cell_length_c 8.5493
_cell_angle_alpha 105.29
_cell_angle_beta 105.29
_cell_angle_gamma 92.80
_symmetry_space_group_name_H-M 'P 1'
_symmetry_Int_Tables_number 1
loop_
_symmetry_equiv_pos_as_xyz
'x,y,z'
loop_
_atom_site_label
_atom_site_type_symbol
_atom_site_fract_x
_atom_site_fract_y
_atom_site_fract_z
_atom_site_occupancy
Ga1 Ga 0.1026 0.8974 0.7500 1
Ga2 Ga 0.8974 0.1026 0.2500 1
Ag1 Ag 0.1045 0.8378 0.4129 1
Ag2 Ag 0.1622 0.8955 0.0871 1
Ag3 Ag 0.1664 0.4514 0.9178 1
Ag4 Ag 0.2142 0.5151 0.5973 1
Ag5 Ag 0.4514 0.1664 0.4178 1
Ag6 Ag 0.4849 0.7858 0.9027 1
Ag7 Ag 0.5151 0.2142 0.0973 1
Ag8 Ag 0.5486 0.8336 0.5822 1
Ag9 Ag 0.7858 0.4849 0.4027 1
Ag10 Ag 0.8336 0.5486 0.0822 1
Ag11 Ag 0.8378 0.1045 0.9129 1
Ag12 Ag 0.8955 0.1622 0.5871 1
Sn1 Sn 0.2203 0.4305 0.2534 1
Sn2 Sn 0.4305 0.2203 0.7534 1
Sn3 Sn 0.5695 0.7797 0.2466 1
Sn4 Sn 0.7797 0.5695 0.7466 1
# E_tot   -55.46 eV per cell
# Calculated density   8.9 g cm⁻³
# DFT formation energy   0.046 eV per atom

---

# GdScRuPt PBE optimized geometry
data_GdScRuPt
_chemical_formula_sum 'Gd1 Sc1 Ru1 Pt1'
_cell_length_a 4.7614
_cell_length_b 4.7614
_cell_length_c 4.7614
_cell_angle_alpha 60.00
_cell_angle_beta 60.00
_cell_angle_gamma 60.00
_symmetry_space_group_name_H-M 'P 1'
_symmetry_Int_Tables_number 1
loop_
_symmetry_equiv_pos_as_xyz
'x,y,z'
loop_
_atom_site_label
_atom_site_type_symbol
_atom_site_fract_x
_atom_site_fract_y
_atom_site_fract_z
_atom_site_occupancy
Gd1 Gd 0.0000 0.0000 0.0000 1
Sc1 Sc 0.5000 0.5000 0.5000 1
Ru1 Ru 0.7500 0.7500 0.7500 1
Pt1 Pt 0.2500 0.2500 0.2500 1
# E_tot   -38.84 eV per cell
# Calculated density   10.8 g cm⁻³
# DFT formation energy   -0.777 eV per atom

---

# La3Si2SnPd9 PBE optimized geometry
data_La3Si2SnPd9
_chemical_formula_sum 'La3 Si2 Sn1 Pd9'
_cell_length_a 6.4617
_cell_length_b 6.4617
_cell_length_c 9.1234
_cell_angle_alpha 90.00
_cell_angle_beta 90.00
_cell_angle_gamma 120.00
_symmetry_space_group_name_H-M 'P 1'
_symmetry_Int_Tables_number 1
loop_
_symmetry_equiv_pos_as_xyz
'x,y,z'
loop_
_atom_site_label
_atom_site_type_symbol
_atom_site_fract_x
_atom_site_fract_y
_atom_site_fract_z
_atom_site_occupancy
La1 La 0.0000 0.0000 0.0000 1
La2 La 0.3333 0.6667 0.6958 1
La3 La 0.6667 0.3333 0.3042 1
Si1 Si 0.3333 0.6667 0.1684 1
Si2 Si 0.6667 0.3333 0.8316 1
Sn1 Sn 0.0000 0.0000 0.5000 1
Pd1 Pd 0.0000 0.5000 0.0000 1
Pd2 Pd 0.1472 0.2943 0.2723 1
Pd3 Pd 0.1472 0.8528 0.2723 1
Pd4 Pd 0.2943 0.1472 0.7277 1
Pd5 Pd 0.5000 0.0000 0.0000 1
Pd6 Pd 0.5000 0.5000 0.0000 1
Pd7 Pd 0.7057 0.8528 0.2723 1
Pd8 Pd 0.8528 0.1472 0.7277 1
Pd9 Pd 0.8528 0.7057 0.7277 1
# Formation energy without anion corrections   -65 kJ/mol of atoms
# E_tot   -86.54 eV per cell
# Calculated density   7.8 g cm⁻³

---

# Sm2YS4 PBE optimized geometry
data_Sm2YS4
_chemical_formula_sum 'Sm4 Y2 S8'
_cell_length_a 6.9047
_cell_length_b 6.9047
_cell_length_c 13.3233
_cell_angle_alpha 90.00
_cell_angle_beta 90.00
_cell_angle_gamma 147.60
_symmetry_space_group_name_H-M 'P 1'
_symmetry_Int_Tables_number 1
loop_
_symmetry_equiv_pos_as_xyz
'x,y,z'
loop_
_atom_site_label
_atom_site_type_symbol
_atom_site_fract_x
_atom_site_fract_y
_atom_site_fract_z
_atom_site_occupancy
Sm1 Sm 0.1294 0.8706 0.5711 1
Sm2 Sm 0.1294 0.8706 0.9289 1
Sm3 Sm 0.8706 0.1294 0.0711 1
Sm4 Sm 0.8706 0.1294 0.4289 1
Y1 Y 0.3728 0.6272 0.7500 1
Y2 Y 0.6272 0.3728 0.2500 1
S1 S 0.0214 0.9786 0.7500 1
S2 S 0.2218 0.7782 0.1245 1
S3 S 0.2218 0.7782 0.3755 1
S4 S 0.5000 0.5000 0.0000 1
S5 S 0.5000 0.5000 0.5000 1
S6 S 0.7782 0.2218 0.6245 1
S7 S 0.7782 0.2218 0.8755 1
S8 S 0.9786 0.0214 0.2500 1
# Formation energy without anion corrections   -196 kJ/mol of atoms
# E_tot   -93.20 eV per cell
# Calculated density   5.1 g cm⁻³

---

# Pr4Nd3Sc PBE optimized geometry
data_Pr4Nd3Sc
_chemical_formula_sum 'Pr4 Nd3 Sc1'
_cell_length_a 9.0353
_cell_length_b 9.0353
_cell_length_c 9.0353
_cell_angle_alpha 157.32
_cell_angle_beta 98.41
_cell_angle_gamma 86.05
_symmetry_space_group_name_H-M 'P 1'
_symmetry_Int_Tables_number 1
loop_
_symmetry_equiv_pos_as_xyz
'x,y,z'
loop_
_atom_site_label
_atom_site_type_symbol
_atom_site_fract_x
_atom_site_fract_y
_atom_site_fract_z
_atom_site_occupancy
Pr1 Pr 0.1132 0.8684 0.2447 1
Pr2 Pr 0.3763 0.1316 0.2447 1
Pr3 Pr 0.6237 0.8684 0.7553 1
Pr4 Pr 0.8868 0.1316 0.7553 1
Nd1 Nd 0.2365 0.7365 0.5000 1
Nd2 Nd 0.5000 0.5000 0.0000 1
Nd3 Nd 0.7635 0.2635 0.5000 1
Sc1 Sc 0.0000 0.0000 0.0000 1
# E_tot   -38.84 eV per cell
# Calculated density   6.2 g cm⁻³
# DFT formation energy   0.114 eV per atom

---

# Mg5Cd2Hg PBE optimized geometry
data_Mg5Cd2Hg
_chemical_formula_sum 'Mg5 Cd2 Hg1'
_cell_length_a 9.3128
_cell_length_b 9.3128
_cell_length_c 9.3128
_cell_angle_alpha 152.43
_cell_angle_beta 152.43
_cell_angle_gamma 39.38
_symmetry_space_group_name_H-M 'P 1'
_symmetry_Int_Tables_number 1
loop_
_symmetry_equiv_pos_as_xyz
'x,y,z'
loop_
_atom_site_label
_atom_site_type_symbol
_atom_site_fract_x
_atom_site_fract_y
_atom_site_fract_z
_atom_site_occupancy
Mg1 Mg 0.0000 0.0000 0.0000 1
Mg2 Mg 0.1256 0.6256 0.5000 1
Mg3 Mg 0.3744 0.8744 0.5000 1
Mg4 Mg 0.6256 0.1256 0.5000 1
Mg5 Mg 0.8744 0.3744 0.5000 1
Cd1 Cd 0.2482 0.2482 0.0000 1
Cd2 Cd 0.7518 0.7518 0.0000 1
Hg1 Hg 0.5000 0.5000 0.0000 1
# E_tot   -10.96 eV per cell
# Calculated density   5.3 g cm⁻³
# DFT formation energy   -0.107 eV per atom

---

# Na3Dy3MoS8 PBE optimized geometry
data_Na3Dy3MoS8
_chemical_formula_sum 'Na3 Dy3 Mo1 S8'
_cell_length_a 8.1225
_cell_length_b 8.1225
_cell_length_c 8.1225
_cell_angle_alpha 57.08
_cell_angle_beta 57.08
_cell_angle_gamma 57.08
_symmetry_space_group_name_H-M 'P 1'
_symmetry_Int_Tables_number 1
loop_
_symmetry_equiv_pos_as_xyz
'x,y,z'
loop_
_atom_site_label
_atom_site_type_symbol
_atom_site_fract_x
_atom_site_fract_y
_atom_site_fract_z
_atom_site_occupancy
Na1 Na 0.0000 0.5000 0.5000 1
Na2 Na 0.5000 0.0000 0.5000 1
Na3 Na 0.5000 0.5000 0.0000 1
Dy1 Dy 0.0000 0.0000 0.5000 1
Dy2 Dy 0.0000 0.5000 0.0000 1
Dy3 Dy 0.5000 0.0000 0.0000 1
Mo1 Mo 0.5000 0.5000 0.5000 1
S1 S 0.2428 0.2428 0.2428 1
S2 S 0.2637 0.7244 0.7244 1
S3 S 0.2756 0.2756 0.7363 1
S4 S 0.2756 0.7363 0.2756 1
S5 S 0.7244 0.2637 0.7244 1
S6 S 0.7244 0.7244 0.2637 1
S7 S 0.7363 0.2756 0.2756 1
S8 S 0.7572 0.7572 0.7572 1
# Formation energy without anion corrections   -146 kJ/mol of atoms
# E_tot   -84.37 eV per cell
# Calculated density   4.3 g cm⁻³

---

Which value of calculated density does entry 9 give?
5.1 g cm⁻³